Entry 1:
Nd3Sn5Pd5 | Alexandria | SCAN | single point on PBEsol structure; E_form = -0.87 eV per atom
1.0
8.650 -2.261 0.000
8.650 2.261 0.000
-2.342 0.000 14.022
Nd Sn Pd
6 10 10
Direct
0.101 0.101 0.214
0.136 0.136 0.586
0.137 0.137 0.871
0.863 0.863 0.129
0.864 0.864 0.414
0.899 0.899 0.786
0.000 0.000 0.000
0.297 0.297 0.261
0.348 0.348 0.597
0.352 0.352 0.950
0.469 0.469 0.280
0.500 0.500 0.500
0.531 0.531 0.720
0.648 0.648 0.050
0.652 0.652 0.403
0.703 0.703 0.739
0.036 0.036 0.387
0.236 0.236 0.429
0.239 0.239 0.068
0.284 0.284 0.763
0.491 0.491 0.097
0.509 0.509 0.903
0.716 0.716 0.237
0.761 0.761 0.932
0.764 0.764 0.571
0.964 0.964 0.613

Entry 2:
V3O7 | Alexandria | SCAN | single point on PBEsol structure; formation energy (no corrections) = -2392.9 kJ/mol of formula units; energy relative to the lowest polymorph listed for this composition = 59 meV per atom
1.0
5.380 0.000 0.000
0.000 10.482 0.000
0.000 0.000 4.172
V O
6 14
Direct
0.250 0.016 0.107
0.250 0.484 0.107
0.250 0.750 0.899
0.750 0.250 0.101
0.750 0.516 0.893
0.750 0.984 0.893
0.014 0.622 0.002
0.014 0.878 0.002
0.250 0.023 0.488
0.250 0.477 0.488
0.250 0.750 0.517
0.486 0.622 0.002
0.486 0.878 0.002
0.514 0.122 0.998
0.514 0.378 0.998
0.750 0.250 0.483
0.750 0.523 0.512
0.750 0.977 0.512
0.986 0.122 0.998
0.986 0.378 0.998

Entry 3:
RbPdOF2 | Alexandria | SCAN | single point on PBEsol structure; formation energy (no corrections) = -782.2 kJ/mol of formula units
1.0
4.402 0.000 0.000
0.000 4.402 0.000
0.000 0.000 3.793
Rb Pd O F
1 1 1 2
Direct
0.000 0.000 0.000
0.500 0.500 0.500
0.500 0.500 0.000
0.000 0.500 0.500
0.500 0.000 0.500

Entry 4:
CdPbAu2 | Alexandria | SCAN | single point on PBEsol structure; E_form = -0.14 eV per atom
1.0
4.318 0.000 0.000
0.000 1.811 5.441
0.000 -1.811 5.441
Cd Pb Au
1 1 2
Direct
0.000 0.000 0.000
0.500 0.301 0.301
0.000 0.726 0.726
0.500 0.560 0.560

Entry 5:
CoSi2O6 | Alexandria | SCAN | single point on PBEsol structure; formation energy (no corrections) = -1946.2 kJ/mol of formula units
1.0
4.651 -4.174 0.000
4.651 4.174 0.000
-1.886 0.000 4.894
Co Si O
2 4 12
Direct
0.084 0.916 0.750
0.916 0.084 0.250
0.209 0.393 0.745
0.393 0.209 0.245
0.607 0.791 0.755
0.791 0.607 0.255
0.028 0.188 0.634
0.080 0.634 0.777
0.188 0.028 0.134
0.351 0.372 0.044
0.366 0.920 0.723
0.372 0.351 0.544
0.628 0.649 0.456
0.634 0.080 0.277
0.649 0.628 0.956
0.812 0.972 0.866
0.920 0.366 0.223
0.972 0.812 0.366

Entry 6:
As2PdRhBr | Alexandria | SCAN | single point on PBEsol structure; formation energy (no corrections) = 441.0 kJ/mol of formula units
1.0
4.704 0.000 0.000
0.000 4.704 0.000
0.000 0.000 4.965
As Pd Rh Br
2 1 1 1
Direct
0.000 0.500 0.000
0.500 0.000 0.000
0.000 0.000 0.000
0.500 0.500 0.500
0.000 0.000 0.500

Entry 7:
LaSc2W | Alexandria | SCAN | single point on PBEsol structure; E_form = 0.30 eV per atom
1.0
3.213 0.000 0.000
0.000 3.213 0.000
0.000 0.000 9.052
La Sc W
1 2 1
Direct
0.000 0.000 0.000
0.500 0.500 0.313
0.500 0.500 0.687
0.000 0.000 0.500

Entry 8:
NaLiRuN2 | Alexandria | SCAN | single point on PBEsol structure; formation energy (no corrections) = 149.6 kJ/mol of formula units
1.0
3.835 0.000 0.000
0.000 3.835 0.000
0.000 0.000 4.463
Na Li Ru N
1 1 1 2
Direct
0.000 0.000 0.000
0.500 0.500 0.000
0.500 0.500 0.500
0.000 0.500 0.500
0.500 0.000 0.500

For the records above, the corresponding electronic total energy values read -37.349, -12.088, -14.986, -61.263, -10.544, -24.363, -35.015, -11.693 eV per atom.